1.
This record from Alexandria via LeMat-Bulk describes a geometry-optimized Sc2NiHPd structure. The functional is PBE.

E above lowest polymorph, meV/atom: 117

a b c (Å): 4.5318 4.5318 3.5367
angles (deg): 90.00 90.00 90.00
With the nearest neighbours (Å) after each atom.
Fractional positions:
1 Sc 0.0000 0.5000 0.0000  2 H 2.27
2 Sc 0.5000 0.0000 0.0000  2 H 2.27
3 Ni 0.0000 0.0000 0.5000  8 Sc 2.87, 4 Pd 3.20
4 H 0.5000 0.5000 0.0000  2 Pd 1.77
5 Pd 0.5000 0.5000 0.5000  2 H 1.77



2.
This record from Alexandria via LeMat-Bulk describes a geometry-optimized KRuPt2 structure. The functional is PBE.

Energy relative to the elements, eV/atom: 0.5476
E above lowest polymorph, meV/atom: 398

a b c (Å): 5.1065 5.1065 2.7343
angles (deg): 90.00 90.00 90.00
With the nearest neighbours (Å) after each atom.
Fractional positions:
1 K 0.0000 0.0000 0.0000  2 K 2.73, 8 Pt 2.90
2 Ru 0.5000 0.5000 0.0000  2 Ru 2.73, 8 Pt 2.90
3 Pt 0.0000 0.5000 0.5000  2 Pt 2.73, 4 K 2.90, 4 Ru 2.90
4 Pt 0.5000 0.0000 0.5000  2 Pt 2.73, 4 K 2.90, 4 Ru 2.90



3.
This record from Alexandria via LeMat-Bulk describes a geometry-optimized TaMn9Nb2 structure. The functional is PBE.

Energy relative to the elements, eV/atom: -0.0664

a b c (Å): 8.3503 8.3503 8.3503
angles (deg): 33.00 33.00 33.00
With the nearest neighbours (Å) after each atom.
Fractional positions:
1 Ta 0.0000 0.0000 0.0000  6 Mn 2.74
2 Mn 0.0729 0.5887 0.5887  7 Mn 2.30-2.46
3 Mn 0.3376 0.3376 0.3376  6 Mn 2.35-2.46
4 Mn 0.4113 0.4113 0.9271  7 Mn 2.30-2.46
5 Mn 0.4113 0.9271 0.4113  7 Mn 2.30-2.46
6 Mn 0.5000 0.5000 0.5000  6 Mn 2.42
7 Mn 0.5887 0.0729 0.5887  7 Mn 2.30-2.46
8 Mn 0.5887 0.5887 0.0729  7 Mn 2.30-2.46
9 Mn 0.6624 0.6624 0.6624  6 Mn 2.35-2.46
10 Mn 0.9271 0.4113 0.4113  7 Mn 2.30-2.46
11 Nb 0.1402 0.1402 0.1402  12 Mn 2.73-2.91, 3 Nb 3.01
12 Nb 0.8598 0.8598 0.8598  12 Mn 2.73-2.91, 3 Nb 3.01



4.
This record from Alexandria via LeMat-Bulk describes a geometry-optimized Cd6AgAu12 structure. The functional is PBE.

Energy relative to the elements, eV/atom: -0.0059
E above lowest polymorph, meV/atom: 86

a b c (Å): 8.6510 8.6510 8.6510
angles (deg): 112.83 112.83 112.83
With the nearest neighbours (Å) after each atom.
Fractional positions:
1 Cd 0.2173 0.2182 0.6261  7 Au 2.75-3.03, 1 Cd 3.06
2 Cd 0.2182 0.6261 0.2173  7 Au 2.75-3.03, 1 Cd 3.06
3 Cd 0.3739 0.7827 0.7818  7 Au 2.75-3.03, 1 Cd 3.06
4 Cd 0.6261 0.2173 0.2182  7 Au 2.75-3.03, 1 Cd 3.06
5 Cd 0.7818 0.3739 0.7827  7 Au 2.75-3.03, 1 Cd 3.06
6 Cd 0.7827 0.7818 0.3739  7 Au 2.75-3.03, 1 Cd 3.06
7 Ag 0.0000 0.0000 0.0000  12 Au 2.90-2.96
8 Au 0.9996 0.2009 0.7988  4 Cd 2.82-3.03, 4 Au 2.87-2.90, 1 Ag 2.90
9 Au 0.0004 0.7991 0.2012  4 Cd 2.82-3.03, 4 Au 2.87-2.90, 1 Ag 2.90
10 Au 0.1925 0.4050 0.4049  3 Cd 2.75-2.95, 6 Au 2.87-3.06, 1 Ag 2.96
11 Au 0.2012 0.0004 0.7991  4 Cd 2.82-3.03, 4 Au 2.87-2.90, 1 Ag 2.90
12 Au 0.2009 0.7988 0.9996  4 Cd 2.82-3.03, 4 Au 2.87-2.90, 1 Ag 2.90
13 Au 0.4049 0.1925 0.4050  3 Cd 2.75-2.95, 6 Au 2.87-3.06, 1 Ag 2.96
14 Au 0.4050 0.4049 0.1925  3 Cd 2.75-2.95, 6 Au 2.87-3.06, 1 Ag 2.96
15 Au 0.5950 0.5951 0.8075  3 Cd 2.75-2.95, 6 Au 2.87-3.06, 1 Ag 2.96
16 Au 0.5951 0.8075 0.5950  3 Cd 2.75-2.95, 6 Au 2.87-3.06, 1 Ag 2.96
17 Au 0.7988 0.9996 0.2009  4 Cd 2.82-3.03, 4 Au 2.87-2.90, 1 Ag 2.90
18 Au 0.7991 0.2012 0.0004  4 Cd 2.82-3.03, 4 Au 2.87-2.90, 1 Ag 2.90
19 Au 0.8075 0.5950 0.5951  3 Cd 2.75-2.95, 6 Au 2.87-3.06, 1 Ag 2.96



5.
This record from Alexandria via LeMat-Bulk describes a geometry-optimized AlGe2Sb2 structure. The functional is PBE.

E_form (uncorrected), eV per atom: 0.3291
E above lowest polymorph, meV/atom: 8

a b c (Å): 7.9951 7.9951 3.7390
angles (deg): 90.00 90.00 90.00
With the nearest neighbours (Å) after each atom.
Fractional positions:
1 Al 0.0000 0.0000 0.0000  4 Sb 2.99
2 Al 0.5000 0.5000 0.0000  4 Sb 2.99
3 Ge 0.1361 0.3639 0.5000  6 Sb 2.93-3.05, 1 Ge 3.08
4 Ge 0.3639 0.8639 0.5000  6 Sb 2.93-3.05, 1 Ge 3.08
5 Ge 0.6361 0.1361 0.5000  6 Sb 2.93-3.05, 1 Ge 3.08
6 Ge 0.8639 0.6361 0.5000  6 Sb 2.93-3.05, 1 Ge 3.08
7 Sb 0.1647 0.6647 0.0000  6 Ge 2.93-3.05, 2 Al 2.99
8 Sb 0.3353 0.1647 0.0000  6 Ge 2.93-3.05, 2 Al 2.99
9 Sb 0.6647 0.8353 0.0000  6 Ge 2.93-3.05, 2 Al 2.99
10 Sb 0.8353 0.3353 0.0000  6 Ge 2.93-3.05, 2 Al 2.99



6.
This record from Alexandria via LeMat-Bulk describes a geometry-optimized Tb12YTh7 structure. The functional is PBE.

Energy relative to the elements, eV/atom: 0.9375

a b c (Å): 10.0096 10.0096 10.0096
angles (deg): 109.47 109.47 109.47
With the nearest neighbours (Å) after each atom.
Fractional positions:
1 Tb 0.0033 0.2564 0.7468  2 Th 2.89
2 Tb 0.2532 0.5096 0.2564  2 Th 2.89
3 Tb 0.2532 0.9967 0.7436  2 Th 2.89
4 Tb 0.2564 0.2532 0.5096  2 Th 2.89
5 Tb 0.2564 0.7468 0.0033  2 Th 2.89
6 Tb 0.4904 0.7436 0.7468  2 Th 2.89
7 Tb 0.5096 0.2564 0.2532  2 Th 2.89
8 Tb 0.7436 0.2532 0.9967  2 Th 2.89
9 Tb 0.7436 0.7468 0.4904  2 Th 2.89
10 Tb 0.7468 0.0033 0.2564  2 Th 2.89
11 Tb 0.7468 0.4904 0.7436  2 Th 2.89
12 Tb 0.9967 0.7436 0.2532  2 Th 2.89
13 Y 0.0000 0.0000 0.0000  12 Tb 4.17
14 Th 0.0000 0.0000 0.5000  6 Tb 2.89
15 Th 0.0000 0.5000 0.0000  6 Tb 2.89
16 Th 0.0000 0.5000 0.5000  12 Tb 4.01-4.11
17 Th 0.5000 0.0000 0.0000  6 Tb 2.89
18 Th 0.5000 0.0000 0.5000  12 Tb 4.01-4.11
19 Th 0.5000 0.5000 0.0000  12 Tb 4.01-4.11
20 Th 0.5000 0.5000 0.5000  6 Tb 2.89



7.
This record from Alexandria via LeMat-Bulk describes a geometry-optimized SmEr3Bi3 structure. The functional is PBE.

Energy relative to the elements, eV/atom: -0.6260

a b c (Å): 8.1837 8.1837 8.1837
angles (deg): 67.79 67.79 67.79
With the nearest neighbours (Å) after each atom.
Fractional positions:
1 Sm 0.1660 0.1660 0.1660  6 Bi 3.25-3.26
2 Sm 0.8340 0.8340 0.8340  6 Bi 3.25-3.26
3 Er 0.1622 0.6765 0.4186  5 Bi 3.11-3.35
4 Er 0.3235 0.5814 0.8378  5 Bi 3.11-3.35
5 Er 0.4186 0.1622 0.6765  5 Bi 3.11-3.35
6 Er 0.5814 0.8378 0.3235  5 Bi 3.11-3.35
7 Er 0.6765 0.4186 0.1622  5 Bi 3.11-3.35
8 Er 0.8378 0.3235 0.5814  5 Bi 3.11-3.35
9 Bi 0.0259 0.4158 0.8003  5 Er 3.11-3.35, 2 Sm 3.25-3.26
10 Bi 0.1997 0.9741 0.5842  5 Er 3.11-3.35, 2 Sm 3.25-3.26
11 Bi 0.4158 0.8003 0.0259  5 Er 3.11-3.35, 2 Sm 3.25-3.26
12 Bi 0.5842 0.1997 0.9741  5 Er 3.11-3.35, 2 Sm 3.25-3.26
13 Bi 0.8003 0.0259 0.4158  5 Er 3.11-3.35, 2 Sm 3.25-3.26
14 Bi 0.9741 0.5842 0.1997  5 Er 3.11-3.35, 2 Sm 3.25-3.26



8.
This record from Alexandria via LeMat-Bulk describes a geometry-optimized Ce2PrGa structure. The functional is PBE.

Energy relative to the elements, eV/atom: -0.2774
E above lowest polymorph, meV/atom: 0

a b c (Å): 4.4615 4.3446 11.3559
angles (deg): 90.00 100.20 90.00
With the nearest neighbours (Å) after each atom.
Fractional positions:
1 Ce 0.0069 0.2500 0.1192  2 Ce 2.82, 2 Ga 3.13
2 Ce 0.3938 0.2500 0.8785  2 Ce 2.82, 1 Ga 3.07
3 Ce 0.6062 0.7500 0.1215  2 Ce 2.82, 1 Ga 3.07
4 Ce 0.9931 0.7500 0.8808  2 Ce 2.82, 2 Ga 3.13
5 Pr 0.3009 0.7500 0.6029  5 Ga 3.17-3.27
6 Pr 0.6991 0.2500 0.3971  5 Ga 3.17-3.27
7 Ga 0.1742 0.7500 0.3189  4 Ce 3.07-3.21, 5 Pr 3.17-3.27
8 Ga 0.8258 0.2500 0.6811  4 Ce 3.07-3.21, 5 Pr 3.17-3.27



9.
This record from Alexandria via LeMat-Bulk describes a geometry-optimized ZrSi2Hg structure. The functional is PBE.

E_form (uncorrected), eV per atom: -0.0509
E above lowest polymorph, meV/atom: 57

a b c (Å): 2.9073 4.7105 5.3023
angles (deg): 90.00 90.00 90.00
With the nearest neighbours (Å) after each atom.
Fractional positions:
1 Zr 0.0000 0.0000 0.0000  6 Si 2.83-2.97, 2 Zr 2.91
2 Si 0.5000 0.0000 0.4573  2 Hg 2.71, 4 Si 2.72-2.91, 2 Zr 2.83
3 Si 0.5000 0.5000 0.2019  2 Hg 2.61-2.69, 4 Si 2.72-2.91
4 Hg 0.5000 0.5000 0.7095  4 Si 2.61-2.71, 2 Hg 2.91



10.
This record from Alexandria via LeMat-Bulk describes a geometry-optimized BeCuF2 structure. The functional is PBE.

E_form (uncorrected), eV per atom: -1.9997
E above lowest polymorph, meV/atom: 0

a b c (Å): 8.8662 8.8662 8.8662
angles (deg): 16.52 16.52 16.52
With the nearest neighbours (Å) after each atom.
Fractional positions:
1 Be 0.0000 0.0000 0.0000  6 F 1.73
2 Cu 0.5000 0.5000 0.5000  6 Cu 2.55
3 F 0.3683 0.3683 0.3683  3 Be 1.73
4 F 0.6317 0.6317 0.6317  3 Be 1.73



11.
This record from Alexandria via LeMat-Bulk describes a geometry-optimized Rb2TaReI structure. The functional is PBE.

E_form (uncorrected), eV per atom: 2.0642

a b c (Å): 6.8882 6.8882 5.3911
angles (deg): 90.00 90.00 90.00
With the nearest neighbours (Å) after each atom.
Fractional positions:
1 Rb 0.0000 0.5000 0.0000  2 I 3.44
2 Rb 0.5000 0.0000 0.0000  2 I 3.44
3 Ta 0.0000 0.0000 0.5000  2 I 2.70
4 Re 0.5000 0.5000 0.5000  8 Rb 4.37, 4 Ta 4.87
5 I 0.0000 0.0000 0.0000  2 Ta 2.70



12.
This record from Alexandria via LeMat-Bulk describes a geometry-optimized Ca2BeAlIr structure. The functional is PBE.

Energy relative to the elements, eV/atom: 0.2083

a b c (Å): 5.4480 5.4480 4.7407
angles (deg): 90.00 90.00 90.00
With the nearest neighbours (Å) after each atom.
Fractional positions:
1 Ca 0.0000 0.5000 0.0000  2 Ir 2.72
2 Ca 0.5000 0.0000 0.0000  2 Ir 2.72
3 Be 0.0000 0.0000 0.5000  8 Ca 3.61, 4 Al 3.85
4 Al 0.5000 0.5000 0.5000  2 Ir 2.37
5 Ir 0.5000 0.5000 0.0000  2 Al 2.37